DFT (PBE) results for crystalline ReS3F at its relaxed geometry.

Properties
As for the crystal system: cubic. For the density of states at the Fermi level, the calculation gives 4.42 states/eV per cell. As for the magnetization: 0.00 μB per formula unit. As for the uncorrected formation energy: 0.1327 eV per atom. Its space-group type is Pm-3m (221). The relative energy among the computed polymorphs comes out at 0.00 eV/f.u.

```
ReS3F
1.0
4.547 0.000 0.000
0.000 4.547 0.000
0.000 0.000 4.547
Re S F
1 3 1
direct
0.000 0.000 0.000
0.000 0.000 0.500
0.000 0.500 0.000
0.500 0.000 0.000
0.500 0.500 0.500
```